Entry 1:
Computed, not measured: an optimized crystal structure of Li2NdIn at the PBE level of DFT.

Unit cell a=7.007 b=7.007 c=7.007 alpha=90.00 beta=90.00 gamma=90.00
Space group Fm-3m (No. 225)
Asymmetric unit:
Li (0.250, 0.250, 0.250) [8 per cell]
Nd (0.000, 0.000, 0.000) [4 per cell]
In (0.000, 0.000, 0.500) [4 per cell]

Calculated values
- relative energy among the computed polymorphs (kcal/mol of atoms) = 0.000

***

Entry 2:
Computed, not measured: an optimized crystal structure of Al2Au13 at the PBE level of DFT.

Unit cell a=5.514 b=6.763 c=7.796 alpha=70.62 beta=79.29 gamma=78.25
Space group P-1 (No. 2)
Asymmetric unit:
Al (0.158, 0.283, 0.453) [2 per cell]
Au (0.000, 0.500, 0.000) [1 per cell]
Au (0.065, 0.913, 0.708) [2 per cell]
Au (0.184, 0.678, 0.236) [2 per cell]
Au (0.253, 0.084, 0.955) [2 per cell]
Au (0.287, 0.504, 0.648) [2 per cell]
Au (0.436, 0.897, 0.386) [2 per cell]
Au (0.474, 0.310, 0.138) [2 per cell]

Calculated values
- relative energy among the computed polymorphs (kcal/mol of atoms) = 0.000

***

Entry 3:
Computed, not measured: an optimized crystal structure of Ce2HoScBi5 at the PBE level of DFT.

Unit cell a=5.489 b=5.489 c=11.478 alpha=90.00 beta=90.00 gamma=90.00
Space group P4/mmm (No. 123)
Asymmetric unit:
Ce (0.000, 0.000, 0.211) [2 per cell]
Ho (0.500, 0.500, 0.000) [1 per cell]
Sc (0.500, 0.500, 0.500) [1 per cell]
Bi (0.000, 0.000, 0.500) [1 per cell]
Bi (0.000, 0.500, 0.000) [2 per cell]
Bi (0.500, 0.500, 0.260) [2 per cell]

***

Entry 4:
Computed, not measured: an optimized crystal structure of La2VW at the PBE level of DFT.

Unit cell a=7.314 b=7.314 c=7.314 alpha=90.00 beta=90.00 gamma=90.00
Space group Fm-3m (No. 225)
Asymmetric unit:
La (0.250, 0.250, 0.250) [8 per cell]
V (0.000, 0.000, 0.000) [4 per cell]
W (0.000, 0.000, 0.500) [4 per cell]

Calculated values
- relative energy among the computed polymorphs (kcal/mol of atoms) = 0.000

***

Number 1: V 344 Å³/cell, ΔE_f -0.313 eV/atom. Number 2: V 266 Å³/cell, ΔE_f -0.126 eV/atom. Number 3: V 346 Å³/cell, ΔE_f -0.064 eV/atom. Number 4: V 391 Å³/cell, ΔE_f 0.755 eV/atom.